## Rb3RuO (meta-GGA SCAN)

Data for a crystal of Rb3RuO relaxed with PBEsol.

Output
Raw formation energy ... 1018 meV/atom
Symmetry ... Pm-3m (221)

a b c (Å): 5.3865 5.3865 5.3865
angles (deg): 90.00 90.00 90.00
Positions (direct):
Rb 0.0000 0.0000 0.5000
Rb 0.0000 0.5000 0.0000
Rb 0.5000 0.0000 0.0000
Ru 0.0000 0.0000 0.0000
O 0.5000 0.5000 0.5000